Record 1
Below is a relaxed LaBe2Cd crystal, with properties calculated at the PBE-GGA level.

Computed properties:
For the formation energy from the elements, the calculation gives 0.08 eV/atom. Its density of states at the Fermi level is 0.774 states/eV/atom.

Lattice parameters (Å, degrees): 4.1562 4.1562 15.8133 90.00 90.00 120.00
Space group R-3m (No. 166, hexagonal axes)
Unique sites:
La1 0.0000 0.0000 0.0000 [3 per cell]
Be1 0.0000 0.0000 0.1963 [6 per cell]
Cd1 0.0000 0.0000 0.5000 [3 per cell]

=====

Record 2
Below is a relaxed KNaBSe2 crystal, with properties calculated at the PBE-GGA level.

Computed properties:
For the uncorrected formation energy, the calculation gives -0.366 eV per atom. Its density of states at the Fermi level is 0.532 states/eV/atom.

Lattice parameters (Å, degrees): 7.307 4.792 8.537 90.00 105.52 90.00
Space group P2/c (No. 13)
Unique sites:
K1 0.000 0.248 0.250 [2 per cell]
Na1 0.500 0.415 0.750 [2 per cell]
B1 0.500 0.000 0.000 [2 per cell]
Se1 0.281 0.219 0.980 [4 per cell]

=====

Record 3
Below is a relaxed MgAgMo2 crystal, with properties calculated at the PBE-GGA level.

Computed properties:
For the formation energy from the elements, the calculation gives 0.37 eV/atom. Its density of states at the Fermi level is 0.632 states/eV/atom.

Lattice parameters (Å, degrees): 3.275 4.813 8.868 90.00 90.00 90.00
Space group Imm2 (No. 44)
Unique sites:
Mg1 0.000 0.000 0.000 [2 per cell]
Ag1 0.000 0.500 0.248 [2 per cell]
Mo1 0.000 0.000 0.477 [2 per cell]
Mo2 0.000 0.500 0.774 [2 per cell]

=====

Record 4
Below is a relaxed NdAlCd crystal, with properties calculated at the PBE-GGA level.

Computed properties:
For the formation energy from the elements, the calculation gives -0.39 eV/atom. Its density of states at the Fermi level is 0.513 states/eV/atom.

Lattice parameters (Å, degrees): 4.7989 4.7989 3.7143 90.00 90.00 120.00
Space group P-6m2 (No. 187)
Unique sites:
Nd1 0.0000 0.0000 0.0000 [1 per cell]
Al1 0.3333 0.6667 0.5000 [1 per cell]
Cd1 0.6667 0.3333 0.5000 [1 per cell]

=====

Record 5
Below is a relaxed Er4TlZn2 crystal, with properties calculated at the PBE-GGA level.

Computed properties:
For the formation energy from the elements, the calculation gives -0.17 eV/atom. Its density of states at the Fermi level is 1.033 states/eV/atom.

Lattice parameters (Å, degrees): 5.0424 5.0424 24.4275 90.00 90.00 120.00
Space group R-3m (No. 166, hexagonal axes)
Unique sites:
Er1 0.0000 0.0000 0.1136 [6 per cell]
Er2 0.0000 0.0000 0.3679 [6 per cell]
Tl1 0.0000 0.0000 0.5000 [3 per cell]
Zn1 0.0000 0.0000 0.2483 [6 per cell]

=====

Record 6
Below is a relaxed Ba2NaGe2 crystal, with properties calculated at the PBE-GGA level.

Computed properties:
For the formation energy from the elements, the calculation gives -0.44 eV/atom. Its density of states at the Fermi level is 0.436 states/eV/atom.

Lattice parameters (Å, degrees): 11.882 5.763 10.006 90.00 106.38 90.00
Space group C2/c (No. 15)
Unique sites:
Ba1 0.147 0.249 0.132 [8 per cell]
Na1 0.000 0.252 0.750 [4 per cell]
Ge1 0.141 0.251 0.463 [8 per cell]

=====

Record 7
Below is a relaxed CaTb4Er crystal, with properties calculated at the PBE-GGA level.

Computed properties:
For the formation energy from the elements, the calculation gives 0.22 eV/atom. Its density of states at the Fermi level is 1.429 states/eV/atom.

Lattice parameters (Å, degrees): 9.393 9.393 9.393 90.00 90.00 90.00
Space group F-43m (No. 216)
Unique sites:
Ca1 0.000 0.000 0.000 [4 per cell]
Tb1 0.123 0.123 0.623 [16 per cell]
Er1 0.250 0.250 0.250 [4 per cell]

=====

Record 8
Below is a relaxed TlCo2Cu crystal, with properties calculated at the PBE-GGA level.

Computed properties:
For the formation energy from the elements, the calculation gives 0.45 eV/atom. Its density of states at the Fermi level is 1.147 states/eV/atom.

Lattice parameters (Å, degrees): 3.663 4.108 7.558 90.00 90.00 90.00
Space group Imm2 (No. 44)
Unique sites:
Tl1 0.000 0.000 0.000 [2 per cell]
Co1 0.000 0.000 0.478 [2 per cell]
Co2 0.000 0.500 0.763 [2 per cell]
Cu1 0.000 0.500 0.236 [2 per cell]